Compound: CaY2Rh
Source: Alexandria
Functional: PBE
Structure: relaxed

Results
E_form = 0.02 eV/atom
Fermi-level density of states = 13.4 states/eV per cell
Space group = F-43m
Raw total energy = -5.5513 eV/atom
Total magnetic moment = 0.0 μB per cell
Energy relative to the lowest polymorph listed for this composition = 404.5 meV/atom

Cell lengths 7.3818, 7.3818, 7.3818 Å; angles 90.00, 90.00, 90.00 degrees
Atoms (fractional coordinates):
1 Ca 0.0000 0.0000 0.0000
2 Ca 0.0000 0.5000 0.5000
3 Ca 0.5000 0.0000 0.5000
4 Ca 0.5000 0.5000 0.0000
5 Y 0.0000 0.0000 0.5000
6 Y 0.0000 0.5000 0.0000
7 Y 0.2500 0.2500 0.7500
8 Y 0.2500 0.7500 0.2500
9 Y 0.5000 0.0000 0.0000
10 Y 0.5000 0.5000 0.5000
11 Y 0.7500 0.2500 0.2500
12 Y 0.7500 0.7500 0.7500
13 Rh 0.2500 0.2500 0.2500
14 Rh 0.2500 0.7500 0.7500
15 Rh 0.7500 0.2500 0.7500
16 Rh 0.7500 0.7500 0.2500